1.
Material: Cs2KAuI6
Method: DFT, PBE
State: relaxed

Computed properties:
symmetry = I4/mmm, No. 139

Lattice parameters (Å, degrees): 8.7753 8.7753 8.7753 118.73 118.73 92.21
Element x y z (fractional)
1 Cs 0.2500 0.7500 0.5000
2 Cs 0.7500 0.2500 0.5000
3 K 0.0000 0.0000 0.0000
4 Au 0.5000 0.5000 0.0000
5 I 0.2655 0.2655 0.5310
6 I 0.2655 0.7345 0.0000
7 I 0.2777 0.2777 0.0000
8 I 0.7223 0.7223 0.0000
9 I 0.7345 0.2655 0.0000
10 I 0.7345 0.7345 0.4690

2.
Material: Cs2LaAuI6
Method: DFT, PBE
State: relaxed

Computed properties:
symmetry = I4/mmm, No. 139

Lattice parameters (Å, degrees): 8.8425 8.8425 8.8425 121.53 121.53 87.37
Element x y z (fractional)
1 Cs 0.2500 0.7500 0.5000
2 Cs 0.7500 0.2500 0.5000
3 La 0.0000 0.0000 0.0000
4 Au 0.5000 0.5000 0.0000
5 I 0.2463 0.2463 0.0000
6 I 0.2586 0.2586 0.5171
7 I 0.2586 0.7414 0.0000
8 I 0.7414 0.2586 0.0000
9 I 0.7414 0.7414 0.4829
10 I 0.7537 0.7537 0.0000

3.
Material: CsLaAuI5
Method: DFT, PBE
State: relaxed

Computed properties:
symmetry = C2/c, No. 15

Lattice parameters (Å, degrees): 8.7020 8.7020 11.7342 97.13 97.13 107.03
Element x y z (fractional)
1 Cs 0.0729 0.9271 0.7500
2 Cs 0.9271 0.0729 0.2500
3 La 0.5000 0.5000 0.0000
4 La 0.5000 0.5000 0.5000
5 Au 0.3187 0.6813 0.2500
6 Au 0.6813 0.3187 0.7500
7 I 0.1361 0.2998 0.9955
8 I 0.1529 0.5439 0.3985
9 I 0.2998 0.1361 0.4955
10 I 0.4012 0.5988 0.7500
11 I 0.4561 0.8471 0.1015
12 I 0.5439 0.1529 0.8985
13 I 0.5988 0.4012 0.2500
14 I 0.7002 0.8639 0.5045
15 I 0.8471 0.4561 0.6015
16 I 0.8639 0.7002 0.0045

4.
Material: CsLi2AuI4
Method: DFT, PBE
State: relaxed

Computed properties:
symmetry = I222, No. 23

Lattice parameters (Å, degrees): 7.6957 7.6957 7.6957 120.80 120.15 89.18
Element x y z (fractional)
1 Cs 0.0000 0.0000 0.0000
2 Li 0.2507 0.7507 0.5000
3 Li 0.7493 0.2493 0.5000
4 Au 0.5000 0.5000 0.0000
5 I 0.1303 0.5291 0.9964
6 I 0.4673 0.4709 0.6012
7 I 0.5327 0.1340 0.0036
8 I 0.8697 0.8660 0.3988

5.
Material: Cs2LiAuI6
Method: DFT, PBE
State: relaxed

Computed properties:
symmetry = I4/mmm, No. 139

Lattice parameters (Å, degrees): 8.6835 8.6835 8.6835 122.00 122.00 86.58
Element x y z (fractional)
1 Cs 0.2500 0.7500 0.5000
2 Cs 0.7500 0.2500 0.5000
3 Li 0.0000 0.0000 0.0000
4 Au 0.5000 0.5000 0.0000
5 I 0.2064 0.2064 0.0000
6 I 0.2745 0.2745 0.5491
7 I 0.2745 0.7255 0.0000
8 I 0.7255 0.2745 0.0000
9 I 0.7255 0.7255 0.4509
10 I 0.7936 0.7936 0.0000

6.
Material: CsLiAuI3
Method: DFT, PBE
State: relaxed

Computed properties:
symmetry = C2/m, No. 12

Lattice parameters (Å, degrees): 9.2378 9.2378 8.1236 100.70 100.70 54.55
Element x y z (fractional)
1 Cs 0.2167 0.2167 0.2428
2 Cs 0.7833 0.7833 0.7572
3 Li 0.4687 0.4687 0.7436
4 Li 0.5313 0.5313 0.2564
5 Au 0.2366 0.7634 0.5000
6 Au 0.7634 0.2366 0.5000
7 I 0.1719 0.6743 0.1884
8 I 0.3068 0.3068 0.7206
9 I 0.3257 0.8281 0.8116
10 I 0.6743 0.1719 0.1884
11 I 0.6932 0.6932 0.2794
12 I 0.8281 0.3257 0.8116

7.
Material: Cs2MgAuI6
Method: DFT, PBE
State: relaxed

Computed properties:
symmetry = I4/mmm, No. 139

Lattice parameters (Å, degrees): 8.6609 8.6609 8.6609 122.64 122.64 85.48
Element x y z (fractional)
1 Cs 0.2500 0.7500 0.5000
2 Cs 0.7500 0.2500 0.5000
3 Mg 0.0000 0.0000 0.0000
4 Au 0.5000 0.5000 0.0000
5 I 0.2167 0.2167 0.0000
6 I 0.2635 0.2635 0.5270
7 I 0.2635 0.7365 0.0000
8 I 0.7365 0.2635 0.0000
9 I 0.7365 0.7365 0.4730
10 I 0.7833 0.7833 0.0000

8.
Material: CsMn2AuI8
Method: DFT, PBE
State: relaxed

Computed properties:
symmetry = R-3, No. 148

Lattice parameters (Å, degrees): 11.6794 11.6794 11.6794 36.69 36.69 36.69
Element x y z (fractional)
1 Cs 0.0000 0.0000 0.0000
2 Mn 0.2429 0.2429 0.2429
3 Mn 0.7571 0.7571 0.7571
4 Au 0.5000 0.5000 0.5000
5 I 0.1286 0.7689 0.4421
6 I 0.2311 0.5579 0.8714
7 I 0.3226 0.3226 0.3226
8 I 0.4421 0.1286 0.7689
9 I 0.5579 0.8714 0.2311
10 I 0.6774 0.6774 0.6774
11 I 0.7689 0.4421 0.1286
12 I 0.8714 0.2311 0.5579

no.,formation energy (no corrections) (eV per atom),M_tot (μB/cell)
1,-0.83,0.00
2,-1.18,0.00
3,-1.15,0.00
4,-0.92,0.00
5,-0.86,0.00
6,-0.90,0.00
7,-0.89,0.00
8,-0.45,7.99